Entry 1:
The following is a DFT calculation (PBE-GGA) of a relaxed K2CrRu crystal.

Summary:
The formation energy comes out at 1.31 eV per atom. Its crystal system is tetragonal. For the total energy, the calculation gives -3.968 eV/atom.

Cell and atoms, written as CIF:
```
data_K2CrRu
_chemical_formula_sum 'K2 Cr1 Ru1'
_space_group_name_H-M_alt 'P 1'
_space_group_IT_number 1
_cell_length_a 6.380
_cell_length_b 6.380
_cell_length_c 6.380
_cell_angle_alpha 142.52
_cell_angle_beta 142.52
_cell_angle_gamma 54.05
loop_
_space_group_symop_operation_xyz
'x,y,z'
loop_
_atom_site_label
_atom_site_type_symbol
_atom_site_fract_x
_atom_site_fract_y
_atom_site_fract_z
K1 K 0.250 0.750 0.500
K2 K 0.750 0.250 0.500
Cr1 Cr 0.000 0.000 0.000
Ru1 Ru 0.500 0.500 0.000
```


Entry 2:
The following is a DFT calculation (PBE-GGA) of a relaxed FeAu2Se crystal.

Summary:
Its crystal system is orthorhombic. For the total energy, the calculation gives -4.240 eV/atom. For the uncorrected formation energy, the calculation gives 0.39 eV per atom.

Cell and atoms, written as CIF:
```
data_FeAu2Se
_chemical_formula_sum 'Fe1 Au2 Se1'
_space_group_name_H-M_alt 'P 1'
_space_group_IT_number 1
_cell_length_a 5.411
_cell_length_b 5.411
_cell_length_c 2.774
_cell_angle_alpha 90.00
_cell_angle_beta 90.00
_cell_angle_gamma 119.34
loop_
_space_group_symop_operation_xyz
'x,y,z'
loop_
_atom_site_label
_atom_site_type_symbol
_atom_site_fract_x
_atom_site_fract_y
_atom_site_fract_z
Fe1 Fe 0.000 0.000 0.000
Au1 Au 0.000 0.500 0.500
Au2 Au 0.500 0.000 0.500
Se1 Se 0.500 0.500 0.000
```


Entry 3:
The following is a DFT calculation (PBE-GGA) of a relaxed AlOsWC2 crystal.

Summary:
The formation energy comes out at 2.16 eV per atom. Its crystal system is tetragonal. For the total energy, the calculation gives -7.116 eV/atom.

Cell and atoms, written as CIF:
```
data_AlOsWC2
_chemical_formula_sum 'Al1 Os1 W1 C2'
_space_group_name_H-M_alt 'P 1'
_space_group_IT_number 1
_cell_length_a 3.982
_cell_length_b 3.982
_cell_length_c 5.161
_cell_angle_alpha 90.00
_cell_angle_beta 90.00
_cell_angle_gamma 90.00
loop_
_space_group_symop_operation_xyz
'x,y,z'
loop_
_atom_site_label
_atom_site_type_symbol
_atom_site_fract_x
_atom_site_fract_y
_atom_site_fract_z
Al1 Al 0.000 0.000 0.000
Os1 Os 0.500 0.500 0.000
W1 W 0.000 0.000 0.500
C1 C 0.000 0.500 0.500
C2 C 0.500 0.000 0.500
```


Entry 4:
The following is a DFT calculation (PBE-GGA) of a relaxed Li3CaSi crystal.

Summary:
Its crystal system is cubic. For the total energy, the calculation gives -1.585 eV/atom. For the uncorrected formation energy, the calculation gives 1.05 eV per atom.

Cell and atoms, written as CIF:
```
data_Li3CaSi
_chemical_formula_sum 'Li3 Ca1 Si1'
_space_group_name_H-M_alt 'P 1'
_space_group_IT_number 1
_cell_length_a 5.112
_cell_length_b 5.112
_cell_length_c 5.112
_cell_angle_alpha 90.00
_cell_angle_beta 90.00
_cell_angle_gamma 90.00
loop_
_space_group_symop_operation_xyz
'x,y,z'
loop_
_atom_site_label
_atom_site_type_symbol
_atom_site_fract_x
_atom_site_fract_y
_atom_site_fract_z
Li1 Li 0.000 0.000 0.500
Li2 Li 0.000 0.500 0.000
Li3 Li 0.500 0.000 0.000
Ca1 Ca 0.000 0.000 0.000
Si1 Si 0.500 0.500 0.500
```


Entry 5:
The following is a DFT calculation (PBE-GGA) of a relaxed CaTmAg4 crystal.

Summary:
The formation energy comes out at -0.27 eV per atom. Its crystal system is monoclinic. For the total energy, the calculation gives -3.252 eV/atom.

Cell and atoms, written as CIF:
```
data_CaTmAg4
_chemical_formula_sum 'Ca1 Tm1 Ag4'
_space_group_name_H-M_alt 'P 1'
_space_group_IT_number 1
_cell_length_a 5.346
_cell_length_b 5.346
_cell_length_c 5.273
_cell_angle_alpha 90.15
_cell_angle_beta 90.15
_cell_angle_gamma 120.92
loop_
_space_group_symop_operation_xyz
'x,y,z'
loop_
_atom_site_label
_atom_site_type_symbol
_atom_site_fract_x
_atom_site_fract_y
_atom_site_fract_z
Ca1 Ca 0.000 0.000 0.000
Tm1 Tm 0.500 0.500 0.500
Ag1 Ag 0.172 0.828 0.500
Ag2 Ag 0.332 0.668 0.000
Ag3 Ag 0.668 0.332 0.000
Ag4 Ag 0.828 0.172 0.500
```


Entry 6:
The following is a DFT calculation (PBE-GGA) of a relaxed La6NdCo3 crystal.

Summary:
The formation energy comes out at -0.02 eV per atom. Its crystal system is orthorhombic. For the total energy, the calculation gives -5.581 eV/atom.

Cell and atoms, written as CIF:
```
data_La6NdCo3
_chemical_formula_sum 'La12 Nd2 Co6'
_space_group_name_H-M_alt 'P 1'
_space_group_IT_number 1
_cell_length_a 8.681
_cell_length_b 8.681
_cell_length_c 7.419
_cell_angle_alpha 90.00
_cell_angle_beta 90.00
_cell_angle_gamma 93.31
loop_
_space_group_symop_operation_xyz
'x,y,z'
loop_
_atom_site_label
_atom_site_type_symbol
_atom_site_fract_x
_atom_site_fract_y
_atom_site_fract_z
La1 La 0.003 0.466 0.804
La2 La 0.021 0.979 0.500
La3 La 0.303 0.324 0.064
La4 La 0.307 0.693 0.558
La5 La 0.324 0.303 0.564
La6 La 0.466 0.003 0.304
La7 La 0.534 0.997 0.804
La8 La 0.676 0.697 0.064
La9 La 0.693 0.307 0.058
La10 La 0.697 0.676 0.564
La11 La 0.979 0.021 0.000
La12 La 0.997 0.534 0.304
Nd1 Nd 0.263 0.737 0.008
Nd2 Nd 0.737 0.263 0.508
Co1 Co 0.003 0.255 0.260
Co2 Co 0.255 0.003 0.760
Co3 Co 0.459 0.541 0.803
Co4 Co 0.541 0.459 0.303
Co5 Co 0.745 0.997 0.260
Co6 Co 0.997 0.745 0.760
```


Entry 7:
The following is a DFT calculation (PBE-GGA) of a relaxed ZrSiAs2 crystal.

Summary:
Its crystal system is cubic. For the total energy, the calculation gives -5.677 eV/atom. For the uncorrected formation energy, the calculation gives 0.14 eV per atom.

Cell and atoms, written as CIF:
```
data_ZrSiAs2
_chemical_formula_sum 'Zr1 Si1 As2'
_space_group_name_H-M_alt 'P 1'
_space_group_IT_number 1
_cell_length_a 4.743
_cell_length_b 4.743
_cell_length_c 4.743
_cell_angle_alpha 60.00
_cell_angle_beta 60.00
_cell_angle_gamma 60.00
loop_
_space_group_symop_operation_xyz
'x,y,z'
loop_
_atom_site_label
_atom_site_type_symbol
_atom_site_fract_x
_atom_site_fract_y
_atom_site_fract_z
Zr1 Zr 0.000 0.000 0.000
Si1 Si 0.250 0.250 0.250
As1 As 0.500 0.500 0.500
As2 As 0.750 0.750 0.750
```


Entry 8:
The following is a DFT calculation (PBE-GGA) of a relaxed BaFePb3 crystal.

Summary:
The formation energy comes out at 1.53 eV per atom. Its crystal system is cubic. For the total energy, the calculation gives -2.771 eV/atom.

Cell and atoms, written as CIF:
```
data_BaFePb3
_chemical_formula_sum 'Ba1 Fe1 Pb3'
_space_group_name_H-M_alt 'P 1'
_space_group_IT_number 1
_cell_length_a 6.288
_cell_length_b 6.288
_cell_length_c 6.288
_cell_angle_alpha 90.00
_cell_angle_beta 90.00
_cell_angle_gamma 90.00
loop_
_space_group_symop_operation_xyz
'x,y,z'
loop_
_atom_site_label
_atom_site_type_symbol
_atom_site_fract_x
_atom_site_fract_y
_atom_site_fract_z
Ba1 Ba 0.000 0.000 0.000
Fe1 Fe 0.500 0.500 0.500
Pb1 Pb 0.000 0.000 0.500
Pb2 Pb 0.000 0.500 0.000
Pb3 Pb 0.500 0.000 0.000
```